The following is a PBE-GGA calculation of a relaxed structure of Y3TmSb4, from the Alexandria database.

Structure (POSCAR):
```
Y3TmSb4
1.0
6.187 0.000 0.000
0.000 6.187 0.000
0.000 0.000 6.187
Y Tm Sb
3 1 4
direct
0.000 0.000 0.500
0.000 0.500 0.000
0.500 0.000 0.000
0.500 0.500 0.500
0.000 0.000 0.000
0.000 0.500 0.500
0.500 0.000 0.500
0.500 0.500 0.000
```

Computed properties:
Calculated volume: 236.79 Å³/cell
E_form (uncorrected): -1.14 eV per atom
Space group: Pm-3m, No. 221
Calculated density: 6.47 g/cm³


The following is a PBE-GGA calculation of a relaxed structure of Y3TmSb3, from the Alexandria database.

Structure (POSCAR):
```
Y3TmSb3
1.0
9.179 0.000 0.000
0.000 9.179 0.000
0.000 0.000 9.179
Y Tm Sb
12 4 12
direct
0.071 0.429 0.571
0.177 0.823 0.323
0.178 0.178 0.178
0.322 0.822 0.678
0.323 0.177 0.823
0.429 0.571 0.071
0.571 0.071 0.429
0.677 0.677 0.677
0.678 0.322 0.822
0.822 0.678 0.322
0.823 0.323 0.177
0.929 0.929 0.929
0.073 0.573 0.927
0.427 0.427 0.427
0.573 0.927 0.073
0.927 0.073 0.573
0.001 0.253 0.874
0.126 0.501 0.247
0.247 0.126 0.501
0.253 0.874 0.001
0.374 0.499 0.747
0.499 0.747 0.374
0.501 0.247 0.126
0.626 0.999 0.753
0.747 0.374 0.499
0.753 0.626 0.999
0.874 0.001 0.253
0.999 0.753 0.626
```

Computed properties:
Calculated volume: 773.42 Å³/cell
E_form (uncorrected): -1.00 eV per atom
Space group: P2_13, No. 198
Calculated density: 6.88 g/cm³


The following is a PBE-GGA calculation of a relaxed structure of YTmSb, from the Alexandria database.

Structure (POSCAR):
```
YTmSb
1.0
-1.969 1.969 5.356
1.969 -1.969 5.356
1.969 1.969 -5.356
Y Tm Sb
1 1 1
direct
0.000 0.000 0.000
0.692 0.692 0.000
0.343 0.343 0.000
```

Computed properties:
Calculated volume: 83.09 Å³/cell
E_form (uncorrected): -0.63 eV per atom
Space group: I4mm, No. 107
Calculated density: 7.59 g/cm³


The following is a PBE-GGA calculation of a relaxed structure of Y3TmSb2, from the Alexandria database.

Structure (POSCAR):
```
Y3TmSb2
1.0
-3.504 7.153 3.817
3.504 -7.153 3.817
3.504 7.153 -3.817
Y Tm Sb
6 2 4
direct
0.043 0.750 0.293
0.250 0.250 0.000
0.457 0.750 0.707
0.543 0.250 0.293
0.750 0.750 0.000
0.957 0.250 0.707
0.000 0.500 0.500
0.500 0.000 0.500
0.146 0.177 0.323
0.354 0.677 0.031
0.646 0.323 0.969
0.854 0.823 0.677
```

Computed properties:
Calculated volume: 382.67 Å³/cell
E_form (uncorrected): -0.59 eV per atom
Space group: Ibam, No. 72
Calculated density: 5.89 g/cm³


The following is a PBE-GGA calculation of a relaxed structure of Y3TmSb4, from the Alexandria database.

Structure (POSCAR):
```
Y3TmSb4
1.0
4.378 -6.190 0.000
4.378 6.190 0.000
0.000 0.000 4.379
Y Tm Sb
3 1 4
direct
0.000 0.000 0.000
0.000 0.500 0.500
0.500 0.000 0.500
0.500 0.500 0.000
0.251 0.749 0.000
0.253 0.253 0.500
0.747 0.747 0.500
0.749 0.251 0.000
```

Computed properties:
Calculated volume: 237.35 Å³/cell
E_form (uncorrected): -1.14 eV per atom
Space group: Cmmm, No. 65
Calculated density: 6.46 g/cm³


The following is a PBE-GGA calculation of a relaxed structure of Y3TmSb3, from the Alexandria database.

Structure (POSCAR):
```
Y3TmSb3
1.0
4.461 2.576 6.144
-4.461 2.576 6.144
0.000 -5.152 6.144
Y Tm Sb
6 2 6
direct
0.088 0.344 0.823
0.177 0.912 0.656
0.344 0.823 0.088
0.656 0.177 0.912
0.823 0.088 0.344
0.912 0.656 0.177
0.334 0.334 0.334
0.666 0.666 0.666
0.077 0.695 0.472
0.305 0.528 0.923
0.472 0.077 0.695
0.528 0.923 0.305
0.695 0.472 0.077
0.923 0.305 0.528
```

Computed properties:
Calculated volume: 423.59 Å³/cell
E_form (uncorrected): -0.92 eV per atom
Space group: R-3, No. 148
Calculated density: 6.28 g/cm³


The following is a PBE-GGA calculation of a relaxed structure of Y5TmSb4, from the Alexandria database.

Structure (POSCAR):
```
Y5TmSb4
1.0
9.295 -2.148 0.000
9.295 2.148 0.000
-2.224 0.000 8.089
Y Tm Sb
5 1 4
direct
0.000 0.000 0.000
0.323 0.323 0.149
0.336 0.336 0.676
0.664 0.664 0.324
0.677 0.677 0.851
0.000 0.000 0.500
0.168 0.168 0.588
0.493 0.493 0.246
0.507 0.507 0.754
0.832 0.832 0.412
```

Computed properties:
Calculated volume: 323.03 Å³/cell
E_form (uncorrected): -0.76 eV per atom
Space group: C2/m, No. 12
Calculated density: 5.66 g/cm³


The following is a PBE-GGA calculation of a relaxed structure of YTmSb, from the Alexandria database.

Structure (POSCAR):
```
YTmSb
1.0
0.000 3.565 3.565
3.565 0.000 3.565
3.565 3.565 0.000
Y Tm Sb
1 1 1
direct
0.000 0.000 0.000
0.500 0.500 0.500
0.250 0.250 0.250
```

Computed properties:
Calculated volume: 90.58 Å³/cell
E_form (uncorrected): -0.50 eV per atom
Space group: F-43m, No. 216
Calculated density: 6.96 g/cm³


The following is a PBE-GGA calculation of a relaxed structure of YTm2Sb, from the Alexandria database.

Structure (POSCAR):
```
YTm2Sb
1.0
3.941 0.000 0.000
0.000 3.941 0.000
0.000 0.000 7.290
Y Tm Sb
1 2 1
direct
0.000 0.000 0.000
0.500 0.500 0.276
0.500 0.500 0.724
0.000 0.000 0.500
```

Computed properties:
Calculated volume: 113.24 Å³/cell
E_form (uncorrected): -0.45 eV per atom
Space group: P4/mmm, No. 123
Calculated density: 8.04 g/cm³


The following is a PBE-GGA calculation of a relaxed structure of YTmSb, from the Alexandria database.

Structure (POSCAR):
```
YTmSb
1.0
5.020 0.000 0.000
-2.510 4.347 0.000
0.000 0.000 3.985
Y Tm Sb
1 1 1
direct
0.000 0.000 0.000
0.333 0.667 0.526
0.667 0.333 0.317
```

Computed properties:
Calculated volume: 86.97 Å³/cell
E_form (uncorrected): -0.43 eV per atom
Space group: P3m1, No. 156
Calculated density: 7.25 g/cm³


The following is a PBE-GGA calculation of a relaxed structure of Y2TmSb, from the Alexandria database.

Structure (POSCAR):
```
Y2TmSb
1.0
2.002 1.156 9.375
-2.002 1.156 9.375
0.000 -2.312 9.375
Y Tm Sb
2 1 1
direct
0.000 0.000 0.000
0.196 0.196 0.196
0.432 0.432 0.432
0.598 0.598 0.598
```

Computed properties:
Calculated volume: 130.15 Å³/cell
E_form (uncorrected): -0.34 eV per atom
Space group: R3m, No. 160
Calculated density: 5.98 g/cm³


The following is a PBE-GGA calculation of a relaxed structure of Tm6ZnSb3, from the Alexandria database.

Structure (POSCAR):
```
Tm6ZnSb3
1.0
5.478 -7.597 0.000
5.478 7.597 0.000
0.000 0.000 6.869
Tm Zn Sb
12 2 6
direct
0.030 0.970 0.500
0.094 0.539 0.060
0.250 0.356 0.678
0.259 0.741 0.617
0.356 0.250 0.178
0.461 0.906 0.060
0.539 0.094 0.560
0.644 0.750 0.678
0.741 0.259 0.117
0.750 0.644 0.178
0.906 0.461 0.560
0.970 0.030 0.000
0.155 0.845 0.197
0.845 0.155 0.697
0.059 0.274 0.314
0.274 0.059 0.814
0.427 0.573 0.982
0.573 0.427 0.482
0.726 0.941 0.314
0.941 0.726 0.814
```

Computed properties:
Calculated volume: 571.70 Å³/cell
E_form (uncorrected): -0.52 eV per atom
Space group: Cmc2_1, No. 36
Calculated density: 8.39 g/cm³